[1]
PuNiSe | Alexandria | PBE | relaxed; raw formation energy = -0.325 eV per atom; calculated density = 10.12 g cm⁻³; DFT total energy = -8.191 eV/atom
1.0
10.529 0.000 0.000
0.000 3.700 0.000
0.000 0.000 6.427
Pu Ni Se
4 4 4
direct
0.175 0.000 0.000
0.175 0.500 0.500
0.825 0.000 0.000
0.825 0.500 0.500
0.000 0.000 0.667
0.000 0.500 0.167
0.500 0.000 0.997
0.500 0.500 0.497
0.356 0.000 0.667
0.356 0.500 0.167
0.644 0.000 0.667
0.644 0.500 0.167

***

[2]
Pu3Ni5Se12 | Alexandria | PBE | relaxed; raw formation energy = -0.644 eV per atom; calculated density = 7.53 g cm⁻³; DFT total energy = -6.329 eV/atom
1.0
-7.576 7.576 7.576
7.576 -7.576 7.576
7.576 7.576 -7.576
Pu Ni Se
12 20 48
direct
0.125 0.250 0.375
0.125 0.375 0.750
0.250 0.375 0.125
0.250 0.875 0.625
0.375 0.125 0.250
0.375 0.750 0.125
0.625 0.250 0.875
0.625 0.875 0.750
0.750 0.125 0.375
0.750 0.625 0.875
0.875 0.625 0.250
0.875 0.750 0.625
0.000 0.000 0.000
0.000 0.000 0.500
0.000 0.500 0.000
0.000 0.500 0.500
0.125 0.750 0.875
0.125 0.875 0.250
0.250 0.125 0.875
0.250 0.625 0.375
0.375 0.250 0.625
0.375 0.625 0.750
0.500 0.000 0.000
0.500 0.000 0.500
0.500 0.500 0.000
0.500 0.500 0.500
0.625 0.375 0.250
0.625 0.750 0.375
0.750 0.375 0.625
0.750 0.875 0.125
0.875 0.125 0.750
0.875 0.250 0.125
0.028 0.205 0.117
0.028 0.324 0.911
0.088 0.705 0.676
0.088 0.883 0.411
0.089 0.617 0.412
0.089 0.972 0.676
0.117 0.028 0.205
0.117 0.589 0.912
0.176 0.205 0.588
0.176 0.472 0.589
0.205 0.117 0.028
0.205 0.588 0.176
0.295 0.324 0.912
0.295 0.472 0.383
0.324 0.911 0.028
0.324 0.912 0.295
0.383 0.295 0.472
0.383 0.588 0.911
0.411 0.088 0.883
0.411 0.824 0.528
0.412 0.089 0.617
0.412 0.824 0.795
0.472 0.383 0.295
0.472 0.589 0.176
0.528 0.411 0.824
0.528 0.617 0.705
0.588 0.176 0.205
0.588 0.911 0.383
0.589 0.176 0.472
0.589 0.912 0.117
0.617 0.412 0.089
0.617 0.705 0.528
0.676 0.088 0.705
0.676 0.089 0.972
0.705 0.528 0.617
0.705 0.676 0.088
0.795 0.412 0.824
0.795 0.883 0.972
0.824 0.528 0.411
0.824 0.795 0.412
0.883 0.411 0.088
0.883 0.972 0.795
0.911 0.028 0.324
0.911 0.383 0.588
0.912 0.117 0.589
0.912 0.295 0.324
0.972 0.676 0.089
0.972 0.795 0.883

***

[3]
PuSi4Ni2 | Alexandria | PBE | relaxed; raw formation energy = -0.469 eV per atom; calculated density = 7.76 g cm⁻³; DFT total energy = -7.267 eV/atom
1.0
16.385 0.000 0.000
0.000 3.998 0.000
0.000 0.000 6.191
Pu Si Ni
4 16 8
direct
0.141 0.250 0.005
0.359 0.750 0.505
0.641 0.250 0.495
0.859 0.750 0.995
0.028 0.750 0.134
0.067 0.250 0.528
0.184 0.750 0.697
0.200 0.750 0.288
0.300 0.250 0.788
0.316 0.250 0.197
0.433 0.750 0.028
0.472 0.250 0.634
0.528 0.750 0.366
0.567 0.250 0.972
0.684 0.750 0.803
0.700 0.750 0.212
0.800 0.250 0.712
0.816 0.250 0.303
0.933 0.750 0.472
0.972 0.250 0.866
0.032 0.750 0.740
0.208 0.250 0.490
0.292 0.750 0.990
0.468 0.250 0.240
0.532 0.750 0.760
0.708 0.250 0.010
0.792 0.750 0.510
0.968 0.250 0.260

***

[4]
Pu3Si2Ni3 | Alexandria | PBE | relaxed; raw formation energy = -0.428 eV per atom; calculated density = 11.12 g cm⁻³; DFT total energy = -9.326 eV/atom
1.0
7.383 0.000 0.000
0.000 13.854 0.000
0.000 0.000 5.630
Pu Si Ni
12 8 12
direct
0.012 0.109 0.135
0.012 0.391 0.135
0.155 0.250 0.585
0.345 0.750 0.085
0.488 0.609 0.635
0.488 0.891 0.635
0.512 0.109 0.365
0.512 0.391 0.365
0.655 0.250 0.915
0.845 0.750 0.415
0.988 0.609 0.865
0.988 0.891 0.865
0.144 0.598 0.358
0.144 0.902 0.358
0.356 0.098 0.858
0.356 0.402 0.858
0.644 0.598 0.142
0.644 0.902 0.142
0.856 0.098 0.642
0.856 0.402 0.642
0.148 0.038 0.598
0.148 0.462 0.598
0.202 0.750 0.559
0.298 0.250 0.059
0.352 0.538 0.098
0.352 0.962 0.098
0.648 0.038 0.902
0.648 0.462 0.902
0.702 0.750 0.941
0.798 0.250 0.441
0.852 0.538 0.402
0.852 0.962 0.402

***

[5]
PuSi3Ni2 | Alexandria | PBE | relaxed; raw formation energy = -0.538 eV per atom; calculated density = 8.43 g cm⁻³; DFT total energy = -7.565 eV/atom
1.0
4.901 -3.651 0.000
4.901 3.651 0.000
0.000 0.000 4.904
Pu Si Ni
2 6 4
direct
0.155 0.845 0.750
0.845 0.155 0.250
0.024 0.599 0.250
0.401 0.976 0.250
0.426 0.574 0.250
0.574 0.426 0.750
0.599 0.024 0.750
0.976 0.401 0.750
0.306 0.306 0.000
0.306 0.306 0.500
0.694 0.694 0.000
0.694 0.694 0.500

***

[6]
Pu3Si2Ni | Alexandria | PBE | relaxed; raw formation energy = -0.384 eV per atom; calculated density = 11.53 g cm⁻³; DFT total energy = -10.321 eV/atom
1.0
11.634 0.000 0.000
0.000 4.139 0.000
0.000 0.000 10.129
Pu Si Ni
12 8 4
direct
0.047 0.250 0.089
0.120 0.750 0.558
0.226 0.250 0.766
0.274 0.750 0.266
0.380 0.250 0.058
0.453 0.750 0.589
0.547 0.250 0.411
0.620 0.750 0.942
0.726 0.250 0.734
0.774 0.750 0.234
0.880 0.250 0.442
0.953 0.750 0.911
0.020 0.750 0.291
0.205 0.750 0.976
0.295 0.250 0.476
0.480 0.250 0.791
0.520 0.750 0.209
0.705 0.750 0.524
0.795 0.250 0.024
0.980 0.250 0.709
0.120 0.250 0.349
0.380 0.750 0.849
0.620 0.250 0.151
0.880 0.750 0.651

***

[7]
Pu3Si2Ni6 | Alexandria | PBE | relaxed; raw formation energy = -0.448 eV per atom; calculated density = 11.60 g cm⁻³; DFT total energy = -8.496 eV/atom
1.0
-4.338 4.338 4.338
4.338 -4.338 4.338
4.338 4.338 -4.338
Pu Si Ni
6 4 12
direct
0.000 0.267 0.267
0.000 0.733 0.733
0.267 0.000 0.267
0.267 0.267 0.000
0.733 0.000 0.733
0.733 0.733 0.000
0.000 0.000 0.500
0.000 0.500 0.000
0.500 0.000 0.000
0.500 0.500 0.500
0.000 0.340 0.660
0.000 0.660 0.340
0.320 0.660 0.660
0.340 0.000 0.660
0.340 0.340 0.680
0.340 0.660 0.000
0.340 0.680 0.340
0.660 0.000 0.340
0.660 0.320 0.660
0.660 0.340 0.000
0.660 0.660 0.320
0.680 0.340 0.340

***

[8]
Pu3Si4Ni7 | Alexandria | PBE | relaxed; raw formation energy = -0.489 eV per atom; calculated density = 10.06 g cm⁻³; DFT total energy = -8.001 eV/atom
1.0
7.323 -1.983 0.000
7.323 1.983 0.000
-5.185 0.000 7.132
Pu Si Ni
3 4 7
direct
0.000 0.000 0.000
0.313 0.313 0.308
0.687 0.687 0.692
0.119 0.119 0.399
0.331 0.331 0.975
0.669 0.669 0.025
0.881 0.881 0.601
0.000 0.000 0.500
0.130 0.130 0.858
0.317 0.317 0.678
0.498 0.498 0.714
0.502 0.502 0.286
0.683 0.683 0.322
0.870 0.870 0.142

***

[9]
Pu2Si2Ni | Alexandria | PBE | relaxed; raw formation energy = -0.507 eV per atom; calculated density = 10.79 g cm⁻³; DFT total energy = -9.566 eV/atom
1.0
5.124 -2.106 0.000
5.124 2.106 0.000
-5.038 0.000 8.596
Pu Si Ni
4 4 2
direct
0.094 0.094 0.403
0.331 0.331 0.815
0.669 0.669 0.185
0.906 0.906 0.597
0.087 0.087 0.941
0.379 0.379 0.373
0.621 0.621 0.627
0.913 0.913 0.059
0.353 0.353 0.125
0.647 0.647 0.875

***

[10]
Pu2Si3Ni | Alexandria | PBE | relaxed; raw formation energy = -0.546 eV per atom; calculated density = 9.34 g cm⁻³; energy above the lowest structure with this stoichiometry = 0.000 eV per atom; DFT total energy = -8.998 eV/atom
1.0
0.000 4.063 6.917
3.993 0.000 6.917
3.993 4.063 0.000
Pu Si Ni
4 6 2
direct
0.247 0.753 0.247
0.250 0.250 0.250
0.750 0.750 0.750
0.753 0.247 0.753
0.169 0.169 0.831
0.171 0.659 0.829
0.341 0.829 0.659
0.659 0.171 0.341
0.829 0.341 0.171
0.831 0.831 0.169
0.333 0.333 0.667
0.667 0.667 0.333

***

[11]
Pu2Si3Ni | Alexandria | PBE | relaxed; raw formation energy = -0.524 eV per atom; calculated density = 9.42 g cm⁻³; energy above the lowest structure with this stoichiometry = 0.021 eV per atom; DFT total energy = -8.977 eV/atom
1.0
3.992 0.000 0.000
0.000 4.015 0.000
0.000 0.000 6.941
Pu Si Ni
2 3 1
direct
0.000 0.000 0.000
0.000 0.500 0.498
0.500 0.000 0.654
0.500 0.500 0.174
0.500 0.500 0.835
0.500 0.000 0.327

***

[12]
Pu2SiNi | Alexandria | PBE | relaxed; raw formation energy = -0.132 eV per atom; calculated density = 11.87 g cm⁻³; DFT total energy = -10.099 eV/atom
1.0
6.851 0.000 0.000
0.000 6.851 0.000
0.000 0.000 6.851
Pu Si Ni
8 4 4
direct
0.250 0.250 0.250
0.250 0.250 0.750
0.250 0.750 0.250
0.250 0.750 0.750
0.750 0.250 0.250
0.750 0.250 0.750
0.750 0.750 0.250
0.750 0.750 0.750
0.000 0.000 0.000
0.000 0.500 0.500
0.500 0.000 0.500
0.500 0.500 0.000
0.000 0.000 0.500
0.000 0.500 0.000
0.500 0.000 0.000
0.500 0.500 0.500